Record 1
A geometry-optimized K4Ho3TiSe8 structure, computed with PBE-GGA.

## Properties
Formation energy (no corrections) ... -1.590 eV/atom

Structure (POSCAR):
```
K4Ho3TiSe8
1.0
4.119 2.378 7.662
-4.119 2.378 7.662
0.000 -4.757 7.662
K Ho Ti Se
4 3 1 8
Cartesian
0.000 0.000 0.000
-2.060 -1.189 7.662
-2.060 1.189 15.325
0.000 2.378 7.662
-4.119 0.000 11.493
-2.060 1.189 3.831
2.060 1.189 3.831
0.000 0.000 11.493
0.000 0.000 5.416
-1.959 -1.131 13.014
0.000 -2.262 9.973
-1.959 1.131 9.973
1.959 -1.131 13.014
0.000 2.262 13.014
1.959 1.131 9.973
0.000 0.000 17.571
```

***

Record 2
A geometry-optimized SbRuPb structure, computed with PBE-GGA.

## Properties
Formation energy (no corrections) ... 0.057 eV/atom
ΔE to the lowest computed polymorph ... 39 meV per atom

Structure (POSCAR):
```
SbRuPb
1.0
3.291 0.000 0.000
0.000 6.428 0.000
0.000 0.000 6.680
Sb Ru Pb
2 2 2
Cartesian
0.000 0.327 0.000
1.645 6.101 3.340
0.000 1.426 4.336
1.645 5.002 0.996
0.000 2.885 1.926
1.645 3.542 5.266
```